Compound: CeSmTh2Bi5
Source: Alexandria via LeMat-Bulk
Functional: PBE
Structure: relaxed

Electronic total energy (eV per cell): -43.906

extended XYZ file:
```
9
Lattice="5.5081 0.0000 0.0000 0.0000 5.5081 0.0000 0.0000 0.0000 11.9107" Properties=species:S:1:pos:R:3 pbc="T T T"
Ce 0.0000 0.0000 0.0000
Sm 0.0000 0.0000 5.9554
Th 2.7541 2.7541 3.7022
Th 2.7541 2.7541 8.2085
Bi 0.0000 0.0000 2.9608
Bi 0.0000 0.0000 8.9499
Bi 0.0000 2.7541 5.9554
Bi 2.7541 0.0000 5.9554
Bi 2.7541 2.7541 0.0000
```